Here is MgAl2W after structural relaxation from Alexandria via LeMat-Bulk. Energies are from PBE-GGA.

The space group is P4/mmm (No. 123) and the conventional cell measures 4.176, 4.176 and 3.704 Å, with angles of 90.00, 90.00 and 90.00 degrees. The distinct sites, in fractional coordinates, are Mg at (0.000, 0.000, 0.000), Al at (0.000, 0.500, 0.500) and W at (0.500, 0.500, 0.000).

As for the formation energy: 0.1631 eV per atom. As for the raw total energy: -5.3451 eV per atom. As for the magnetic moment: 0.12 μB per atom.


Here is GeSN after structural relaxation from Alexandria via LeMat-Bulk. Energies are from PBE-GGA.

The space group is C2 (No. 5) and the conventional cell measures 6.197, 7.089 and 2.912 Å, with angles of 90.00, 117.51 and 90.00 degrees. The distinct sites, in fractional coordinates, are Ge at (0.000, 0.000, 0.000), S at (0.000, 0.409, 0.500) and N at (0.000, 0.179, 0.500).

The calculation puts the formation energy (no corrections) at 0.365 eV/atom. As for the raw total energy: -5.3249 eV per atom. As for the magnetic moment: 0.00 μB per atom.